Entry from Alexandria: a relaxed Na2Cu2Sn crystal (PBE-GGA).

Summary:
magnetization = 0.000 μB per atom
formation energy from the elements = 31.9 kJ/mol of atoms
crystal system = tetragonal
energy = -2.636 eV/atom
space group = No. 139

Cell lengths 4.0209, 4.0209, 7.1443 Å; angles 73.66, 73.66, 90.00 degrees
Sites, in units of the cell vectors:
Na: 0.7500 0.2500 0.5000
Na: 0.2500 0.7500 0.5000
Sn: 0.0000 0.0000 0.0000
Cu: 0.4116 0.4116 0.1768
Cu: 0.5884 0.5884 0.8232